# PmPrNdPu PBE optimized geometry
data_PmPrNdPu
_chemical_formula_sum 'Pm4 Pr4 Nd4 Pu4'
_symmetry_space_group_name_H-M 'F -4 3 m'
_symmetry_Int_Tables_number 216
_symmetry_space_group_name_Hall 'F -4 2 3'
_cell_length_a 8.139
_cell_length_b 8.139
_cell_length_c 8.139
_cell_angle_alpha 90.00
_cell_angle_beta 90.00
_cell_angle_gamma 90.00
loop_
_atom_site_label
_atom_site_type_symbol
_atom_site_fract_x
_atom_site_fract_y
_atom_site_fract_z
Pm1 Pm 0.000 0.000 0.000
Pr1 Pr 0.250 0.250 0.750
Nd1 Nd 0.250 0.250 0.250
Pu1 Pu 0.000 0.000 0.500
# Formation energy from the elements in kcal/mol of atoms: 5.38
# Calculated total energy in eV/atom: -6.92

# PmPr3Nd2S6 PBE optimized geometry
data_PmPr3Nd2S6
_chemical_formula_sum 'Pm2 Pr6 Nd4 S12'
_symmetry_space_group_name_H-M 'C 1 2/m 1'
_symmetry_Int_Tables_number 12
_symmetry_space_group_name_Hall '-C 2y'
_cell_length_a 7.058
_cell_length_b 12.262
_cell_length_c 7.069
_cell_angle_alpha 90.00
_cell_angle_beta 109.48
_cell_angle_gamma 90.00
loop_
_atom_site_label
_atom_site_type_symbol
_atom_site_fract_x
_atom_site_fract_y
_atom_site_fract_z
Pm1 Pm 0.000 0.000 0.000
Pr1 Pr 0.000 0.168 0.500
Pr2 Pr 0.000 0.500 0.500
Nd1 Nd 0.000 0.333 0.000
S1 S 0.247 0.166 0.245
S2 S 0.249 0.000 0.754
# Calculated total energy in eV/atom: -6.48
# Uncorrected formation energy in kJ/mol of atoms: -195.7

# PmPrNd2S4 PBE optimized geometry
data_PmPrNd2S4
_chemical_formula_sum 'Pm1 Pr1 Nd2 S4'
_symmetry_space_group_name_H-M 'P 1 2/m 1'
_symmetry_Int_Tables_number 10
_symmetry_space_group_name_Hall '-P 2y'
_cell_length_a 7.066
_cell_length_b 4.038
_cell_length_c 7.073
_cell_angle_alpha 90.00
_cell_angle_beta 109.11
_cell_angle_gamma 90.00
loop_
_atom_site_label
_atom_site_type_symbol
_atom_site_fract_x
_atom_site_fract_y
_atom_site_fract_z
Pm1 Pm 0.000 0.000 0.000
Pr1 Pr 0.500 0.500 0.000
Nd1 Nd 0.000 0.500 0.500
Nd2 Nd 0.500 0.000 0.500
S1 S 0.247 0.000 0.749
S2 S 0.247 0.500 0.249
# Calculated total energy in eV/atom: -6.47
# Uncorrected formation energy in kJ/mol of atoms: -195.3

# PmPr3Nd3S8 PBE optimized geometry
data_PmPr3Nd3S8
_chemical_formula_sum 'Pm3 Pr9 Nd9 S24'
_symmetry_space_group_name_H-M 'R -3 m'
_symmetry_Int_Tables_number 166
_symmetry_space_group_name_Hall '-R 3 2"'
_cell_length_a 8.1493
_cell_length_b 8.1493
_cell_length_c 20.0069
_cell_angle_alpha 90.00
_cell_angle_beta 90.00
_cell_angle_gamma 120.00
loop_
_atom_site_label
_atom_site_type_symbol
_atom_site_fract_x
_atom_site_fract_y
_atom_site_fract_z
Pm1 Pm 0.0000 0.0000 0.0000
Pr1 Pr 0.0000 0.5000 0.5000
Nd1 Nd 0.0000 0.5000 0.0000
S1 S 0.0000 0.0000 0.2510
S2 S 0.0020 0.5010 0.7485
# Calculated total energy in eV/atom: -6.47
# Uncorrected formation energy in kJ/mol of atoms: -196.9